The following is a DFT calculation (PBEsol) of a relaxed structure of InSbAu2.

Lattice parameters (Å, degrees): 4.5370 5.1224 4.5370 63.71 90.00 116.29
Fractional coordinates of all 4 atoms:
Sb (0.0000, 0.0000, 0.0000)
Au (0.2500, 0.5000, 0.2500)
Au (0.7500, 0.5000, 0.7500)
In (0.5000, 0.0000, 0.5000)

Symmetry ... I4/mmm
ΔE_f (raw) ... 0.03 eV per atom
Excess energy over the best structure of this formula in the dataset ... 0.65 eV/f.u.


The following is a DFT calculation (PBEsol) of a relaxed structure of InSbAu2.

Lattice parameters (Å, degrees): 4.2389 4.2389 6.4643 75.22 75.22 52.15
Fractional coordinates of all 4 atoms:
In (0.5000, 0.5000, 0.5000)
Sb (0.0000, 0.0000, 0.0000)
Au (0.7505, 0.7505, 0.7477)
Au (0.2496, 0.2496, 0.2523)

Symmetry ... C2/m
ΔE_f (raw) ... -0.08 eV per atom
Excess energy over the best structure of this formula in the dataset ... 0.21 eV/f.u.


The following is a DFT calculation (PBEsol) of a relaxed structure of InSbAu2.

Lattice parameters (Å, degrees): 3.4902 3.4902 6.9325 90.00 90.00 90.00
Fractional coordinates of all 4 atoms:
Au (0.5000, 0.5000, 0.2343)
Au (0.0000, 0.0000, 0.0156)
In (0.0000, 0.0000, 0.4568)
Sb (0.5000, 0.5000, 0.7933)

Symmetry ... P4mm
ΔE_f (raw) ... 0.03 eV per atom
Excess energy over the best structure of this formula in the dataset ... 0.68 eV/f.u.


Question: Which of these has the highest excess energy over the best structure of this formula in the dataset?
Answer: number 3


Question: Look up the excess energy over the best structure of this formula in the dataset of the second one.
Answer: 0.21 eV/f.u.